No. 1
DFT (PBE) results for a geometry-optimized LiTe4W structure.

abc: 6.3384 6.3384 6.3384
angles: 60.00 60.00 60.00
Fractional coordinates of all 6 atoms:
1 Te 0.8722 0.3759 0.3759
2 Te 0.3759 0.3759 0.3759
3 Te 0.3759 0.8722 0.3759
4 Li 0.0000 0.0000 0.0000
5 Te 0.3759 0.3759 0.8722
6 W 0.7500 0.7500 0.7500

space-group type	F-43m, No. 216
total magnetic moment	4.9	μB/f.u.
ρ	6.466	Mg/m³
raw total energy	-3.49	eV/atom

No. 2
DFT (PBE) results for a geometry-optimized LiTe2W structure.

abc: 5.4589 3.5223 4.9451
angles: 72.08 90.00 90.00
Fractional coordinates of all 4 atoms:
1 Li 0.5000 0.7338 0.7370
2 Te 0.5000 0.4125 0.3041
3 Te 0.0000 0.0224 0.0114
4 W 0.0000 0.3313 0.4475

polymorph energy (0 for the lowest one)	222	meV/atom
space-group type	Pm, No. 6
total magnetic moment	0.0	μB/f.u.
ρ	8.186	Mg/m³
raw total energy	-5.10	eV/atom

No. 3
DFT (PBE) results for a geometry-optimized LiTe2W structure.

abc: 3.3704 3.3704 7.3701
angles: 90.00 90.00 90.00
Fractional coordinates of all 4 atoms:
1 W 0.5000 0.5000 0.2500
2 Te 0.0000 0.0000 0.4740
3 Te 0.0000 0.0000 0.0260
4 Li 0.5000 0.5000 0.7500

polymorph energy (0 for the lowest one)	75	meV/atom
space-group type	P4/mmm, No. 123
total magnetic moment	0.0	μB/f.u.
ρ	8.845	Mg/m³
raw total energy	-5.24	eV/atom

No. 4
DFT (PBE) results for a geometry-optimized LiTe2W structure.

abc: 4.2341 3.0268 7.1158
angles: 89.42 90.00 90.00
Fractional coordinates of all 4 atoms:
1 W 0.5000 0.2500 0.2500
2 Te 0.0000 0.0746 0.0120
3 Li 0.5000 0.7500 0.7500
4 Te 0.0000 0.4254 0.4880

polymorph energy (0 for the lowest one)	390	meV/atom
space-group type	P2/m, No. 10
total magnetic moment	0.0	μB/f.u.
ρ	8.121	Mg/m³
raw total energy	-4.93	eV/atom

No. 5
DFT (PBE) results for a geometry-optimized LiTe3W structure.

abc: 5.3903 5.3903 5.3903
angles: 90.00 90.00 90.00
Fractional coordinates of all 5 atoms:
1 Te 0.0000 0.0000 0.5000
2 W 0.0000 0.0000 0.0000
3 Te 0.0000 0.5000 0.0000
4 Te 0.5000 0.0000 0.0000
5 Li 0.5000 0.5000 0.5000

polymorph energy (0 for the lowest one)	0	meV/atom
space-group type	Pm-3m, No. 221
total magnetic moment	0.0	μB/f.u.
ρ	6.082	Mg/m³
raw total energy	-4.51	eV/atom

No. 6
DFT (PBE) results for a geometry-optimized LiTe3W structure.

abc: 4.9573 4.9573 4.9573
angles: 90.00 90.00 90.00
Fractional coordinates of all 5 atoms:
1 Te 0.5000 0.0000 0.0000
2 Te 0.0000 0.5000 0.0000
3 Li 0.0000 0.0000 0.0000
4 Te 0.0000 0.0000 0.5000
5 W 0.5000 0.5000 0.5000

polymorph energy (0 for the lowest one)	743	meV/atom
space-group type	Pm-3m, No. 221
total magnetic moment	2.8	μB/f.u.
ρ	7.818	Mg/m³
raw total energy	-3.77	eV/atom

| no. | uncorrected formation energy (eV/atom) |
| --- | --- |
| 1 | 1.0836 |
| 2 | 0.1898 |
| 3 | 0.0430 |
| 4 | 0.3579 |
| 5 | 0.3474 |
| 6 | 1.0899 |